No. 1
Tl2CoPb (PBE, optimized geometry); DFT total energy = -3.5812 eV/atom; magnetic moment = 0.74 μB/f.u.; SG = No. 99; crystal system = tetragonal; ΔE to the lowest computed polymorph = 0.0072 eV/atom
1.0
3.2907 0.0180 0.0000
-0.0186 3.2907 0.0000
0.0000 0.0000 8.9773
Co Tl Pb
1 2 1
direct
0.0000 0.0000 0.4971
0.5000 0.5000 0.3122
0.0000 0.0000 0.0105
0.5000 0.5000 0.6802

***

No. 2
TlCoPb2 (PBE, optimized geometry); DFT total energy = -3.9041 eV/atom; magnetic moment = 0.48 μB/f.u.; SG = No. 71; crystal system = orthorhombic; ΔE to the lowest computed polymorph = 0.0746 eV/atom
1.0
-6.5895 1.8639 2.5784
-4.0176 -1.8588 5.8264
5.9715 2.5668 -3.3610
Co Tl Pb
1 1 2
direct
0.2500 0.7500 0.5000
0.7500 0.2500 0.5000
0.4245 0.4245 0.0000
0.0755 0.0755 0.0000

***

No. 3
TlCoPb3 (PBE, optimized geometry); DFT total energy = -3.9281 eV/atom; magnetic moment = 0.00 μB/f.u.; SG = No. 221; crystal system = cubic; ΔE to the lowest computed polymorph = 0.0000 eV/atom
1.0
5.1733 0.0000 0.0000
0.0000 5.1733 0.0000
0.0000 0.0000 5.1733
Pb Tl Co
3 1 1
direct
0.5000 0.0000 0.0000
0.0000 0.0000 0.5000
0.0000 0.5000 0.0000
0.5000 0.5000 0.5000
0.0000 0.0000 0.0000

***

No. 4
Tl2CoPb (PBE, optimized geometry); DFT total energy = -3.2833 eV/atom; magnetic moment = 1.59 μB/f.u.; SG = No. 12; crystal system = monoclinic; ΔE to the lowest computed polymorph = 0.3051 eV/atom
1.0
-4.9574 -3.6824 0.4653
5.4567 -1.5631 2.4765
-0.6456 -0.1562 3.5073
Pb Tl Co
1 2 1
direct
0.0000 0.5000 0.5000
0.5000 0.5000 0.0000
0.0000 0.0000 0.0000
0.5000 0.0000 0.5000

***

No. 5
TlCoPb2 (PBE, optimized geometry); DFT total energy = -3.8761 eV/atom; magnetic moment = 1.15 μB/f.u.; SG = No. 99; crystal system = tetragonal; ΔE to the lowest computed polymorph = 0.1025 eV/atom
1.0
3.3143 0.0000 0.0000
0.0000 3.3143 0.0000
0.0000 0.0000 8.8280
Co Tl Pb
1 1 2
direct
0.5000 0.5000 0.7461
0.0000 0.0000 0.5605
0.0000 0.0000 0.9343
0.5000 0.5000 0.2590

***

No. 6
TlCoPb2 (PBE, optimized geometry); DFT total energy = -3.8475 eV/atom; magnetic moment = 1.25 μB/f.u.; SG = No. 160; crystal system = trigonal; ΔE to the lowest computed polymorph = 0.1311 eV/atom
1.0
-1.5152 8.5803 -4.3651
-4.4639 8.2872 -2.5235
-1.5861 9.5614 -1.0178
Tl Co Pb
1 1 2
direct
0.4818 0.4818 0.4818
0.7502 0.7502 0.7502
0.2486 0.2486 0.2486
0.0195 0.0195 0.0195